{"formula": "SrMg2Au", "functional": "PBE", "state": "relaxed", "total_magnetization_mub_per_fu": 0.00, "final_energy_ev_per_cell": -18.5, "delta_e_f_kcal_per_mol_atoms": -6.212, "lattice_angstrom": [[5.220, 0.000, 0.000], [0.000, 5.220, 0.000], [0.000, 0.000, 7.482]], "species": ["Sr", "Sr", "Mg", "Mg", "Mg", "Mg", "Au", "Au"], "frac_coords": [[0.000, 0.000, 0.000], [0.500, 0.500, 0.500], [0.000, 0.000, 0.500], [0.000, 0.500, 0.250], [0.500, 0.000, 0.750], [0.500, 0.500, 0.000], [0.000, 0.500, 0.750], [0.500, 0.000, 0.250]]}